Material: NaPaTe3Pd
Method: DFT, GGA-PBE
State: relaxed

a = 4.259 Å, b = 7.792 Å, c = 11.011 Å
α = 90.00°, β = 90.00°, γ = 105.86°
Site moments in Bohr magnetons follow the coordinates.
Fractional positions:
Pd  0.526  0.052  0.250  -0.01
Pd  0.474  0.948  0.750  -0.01
Te  0.361  0.722  0.558  -0.01
Te  0.639  0.278  0.058  -0.01
Te  0.361  0.722  0.942  -0.01
Te  0.087  0.173  0.750  0.00
Te  0.913  0.827  0.250  0.00
Te  0.639  0.278  0.442  -0.01
Pa  0.000  0.000  0.000  0.10
Pa  0.000  0.000  0.500  0.10
Na  0.230  0.460  0.250  0.00
Na  0.770  0.540  0.750  0.00

Properties
space-group type	Cmcm, No. 63
E_tot	-60.96	eV/cell
energy relative to the elements, uncorrected	-0.841	eV/atom